8
Lattice="6.4545 0.0000 0.0000 0.0000 6.1685 0.0000 -1.6908 0.0000 6.2721" Properties=species:S:1:pos:R:3 comment="PBE-GGA KRb3Ag2P2, optimized geometry" spacegroup=Pm pbc="T T T"
Ag 2.3821 1.5446 3.1468
Ag 2.3821 4.6238 3.1468
K 4.3805 3.0842 0.1824
P 1.2638 3.0842 1.5746
P 3.5311 0.0000 4.6918
Rb 5.7064 0.0000 1.9474
Rb -0.9590 3.0842 4.3207
Rb 0.3679 0.0000 6.0782

---

22
Lattice="2.0299 -7.0781 0.0000 2.0299 7.0781 0.0000 0.0000 0.0000 17.4511" Properties=species:S:1:pos:R:3 comment="PBE-GGA CsDy2Cu3TeS4, optimized geometry" spacegroup=Cmcm magmom_total_mub_per_cell=0.000 pbc="T T T"
Cs 2.0299 6.3949 4.3628
Cs 2.0299 -6.3949 13.0883
Cu 2.0299 -1.2067 0.6405
Cu 2.0299 2.0660 4.3628
Cu 2.0299 -1.2067 8.0850
Cu 2.0299 1.2067 9.3661
Cu 2.0299 -2.0660 13.0883
Cu 2.0299 1.2067 16.8105
Dy 2.0299 -4.4196 1.4504
Dy 2.0299 -4.4196 7.2752
Dy 2.0299 4.4196 10.1759
Dy 2.0299 4.4196 16.0007
S 2.0299 4.6739 1.2009
S 2.0299 0.8753 1.7970
S 2.0299 0.8753 6.9285
S 2.0299 4.6739 7.5246
S 2.0299 -4.6739 9.9264
S 2.0299 -0.8753 10.5225
S 2.0299 -0.8753 15.6541
S 2.0299 -4.6739 16.2502
Te 2.0299 -3.6094 4.3628
Te 2.0299 3.6094 13.0883

---

12
Lattice="-3.6264 -5.7460 3.6732 -0.7864 -6.7029 -4.6465 6.2050 -6.4078 3.5282" Properties=species:S:1:pos:R:3 comment="PBE-GGA Rb2Te3Mo, optimized geometry" spacegroup=P-1 magmom_total_mub_per_cell=2.000 pbc="T T T"
Mo -0.8589 -12.1490 -0.9267
Mo 2.6510 -6.7077 3.4817
Rb 0.1953 -2.7353 -0.0770
Rb 0.2103 -7.7069 -0.1899
Rb 1.5819 -11.1498 2.7448
Rb 1.5969 -16.1214 2.6319
Te -1.8387 -5.4745 1.8279
Te -1.7191 -10.8600 1.1620
Te 1.2951 -10.9214 -1.7959
Te 0.4970 -7.9353 4.3509
Te 3.5113 -7.9968 1.3929
Te 3.6309 -13.3823 0.7271

---

4
Lattice="-2.0119 -3.3407 -1.7546 -1.4852 -3.1475 2.4847 -4.2134 -0.4861 0.5456" Properties=species:S:1:pos:R:3 comment="PBE-GGA MgCoHgB, optimized geometry" spacegroup=F-43m e_above_lowest_polymorph_mev_per_atom=0 magmom_total_mub_per_cell=0.583 pbc="T T T"
B 0.0000 0.0000 0.0000
Co -5.7829 -5.2308 0.9568
Hg -3.8553 -3.4872 0.6378
Mg -1.9276 -1.7436 0.3189

---

9
Lattice="-1.0504 -0.8843 7.0783 0.6597 -3.0250 6.5117 5.4028 5.1489 -3.1469" Properties=species:S:1:pos:R:3 comment="PBE-GGA Cu5Ag4, optimized geometry" spacegroup=C2/m e_above_lowest_polymorph_mev_per_atom=59 e_form_ev_per_atom=0.099 pbc="T T T"
Ag 0.7487 -2.6073 12.1101
Ag 2.2712 0.8222 3.7485
Ag 2.7407 0.4175 6.6945
Ag 4.2633 3.8469 -1.6671
Cu -0.1954 -1.9546 6.7950
Cu 0.3274 -2.2390 9.4471
Cu 1.5958 0.9531 1.2153
Cu 3.4162 0.2865 9.2277
Cu 4.6846 3.4786 0.9959

---

3
Lattice="0.0000 3.4040 3.4040 3.4040 0.0000 3.4040 3.4040 3.4040 0.0000" Properties=species:S:1:pos:R:3 comment="PBE-GGA TaSnTe, optimized geometry" spacegroup=F-43m magmom_total_mub_per_cell=0.024 pbc="T T T"
Sn 1.7020 1.7020 1.7020
Ta 0.0000 0.0000 0.0000
Te 5.1060 5.1060 5.1060

---

For reference, final energy by record: -23.0 -106.2 -50.9 -12.7 -29.0 -17.6 eV/cell.